# 1
The following is a DFT calculation (PBE) of a relaxed FeSi2N3 crystal.

Summary:
* formation energy (no corrections): -0.57 eV per atom
* volume: 120.61 Å³/cell
* spin magnetization: 0.50 μB per atom
* DOS at the Fermi energy: 2.6 states/eV per cell
* VASP energy: -7.95 eV per atom

Cell: 5.3879 5.3863 4.7984 Å, 90.00 90.00 119.99°
With the nearest neighbours (Å) after each atom.
Positions (direct):
N1 0.6056 0.9490 0.8647  3 Si 1.77-1.79
N2 0.0000 0.7624 0.8843  2 Si 1.71
N3 0.0000 0.2376 0.3843  2 Si 1.71
N4 0.3944 0.0510 0.3647  3 Si 1.77-1.79
N5 0.3944 0.3435 0.8647  3 Si 1.77-1.79
N6 0.6056 0.6565 0.3647  3 Si 1.77-1.79
Si1 0.6670 0.6756 0.0017  4 N 1.71-1.79
Si2 0.3330 0.3244 0.5017  4 N 1.71-1.79
Si3 0.3330 0.0086 0.0017  4 N 1.71-1.79
Si4 0.6670 0.9914 0.5017  4 N 1.71-1.79
Fe1 0.0000 0.3945 0.9711  2 N 2.02-2.15
Fe2 0.0000 0.6055 0.4711  2 N 2.02-2.15


# 2
The following is a DFT calculation (PBE) of a relaxed Ga2Tc2Sn crystal.

Summary:
* offset from the most stable computed form: 1.01 eV/f.u.
* volume: 161.14 Å³/cell
* spin magnetization: 0.00 μB per atom
* DOS at the Fermi energy: 8.3 states/eV per cell
* VASP energy: -5.98 eV per atom
* energy of formation from the pure elements: 0.18 eV per atom

Cell: 7.1048 7.1048 3.1923 Å, 90.00 90.00 90.00°
With the nearest neighbours (Å) after each atom.
Positions (direct):
Sn1 0.0000 0.0000 0.0000  4 Ga 2.80, 8 Tc 3.09
Sn2 0.5000 0.5000 0.0000  4 Ga 2.80, 8 Tc 3.09
Ga1 0.8729 0.6271 0.0000  1 Ga 2.56, 6 Tc 2.60-2.65, 2 Sn 2.80
Ga2 0.3729 0.8729 0.0000  1 Ga 2.56, 6 Tc 2.60-2.65, 2 Sn 2.80
Ga3 0.1271 0.3729 0.0000  1 Ga 2.56, 6 Tc 2.60-2.65, 2 Sn 2.80
Ga4 0.6271 0.1271 0.0000  1 Ga 2.56, 6 Tc 2.60-2.65, 2 Sn 2.80
Tc1 0.1684 0.6684 0.5000  6 Ga 2.60-2.65
Tc2 0.6684 0.8316 0.5000  6 Ga 2.60-2.65
Tc3 0.8316 0.3316 0.5000  6 Ga 2.60-2.65
Tc4 0.3316 0.1684 0.5000  6 Ga 2.60-2.65


# 3
The following is a DFT calculation (PBE) of a relaxed FeWAu2 crystal.

Summary:
* offset from the most stable computed form: 0.68 eV/f.u.
* volume: 63.28 Å³/cell
* spin magnetization: 0.44 μB per atom
* DOS at the Fermi energy: 1.8 states/eV per cell
* VASP energy: -6.59 eV per atom
* energy of formation from the pure elements: 0.41 eV per atom

Cell: 4.7861 4.7861 4.7861 Å, 129.71 129.71 73.86°
With the nearest neighbours (Å) after each atom.
Positions (direct):
Au1 0.0000 0.0000 0.0000  4 W 2.79, 4 Au 2.79, 4 Fe 2.88
Au2 0.2500 0.7500 0.5000  4 Fe 2.79, 4 Au 2.79, 4 W 2.88
Fe1 0.5000 0.5000 0.0000  4 W 2.79, 8 Au 2.79-2.88
W1 0.7500 0.2500 0.5000  8 Au 2.79-2.88, 4 Fe 2.79


# 4
The following is a DFT calculation (PBE) of a relaxed Y3GeSb crystal.

Summary:
* offset from the most stable computed form: 1.22 eV/f.u.
* formation energy (no corrections): -0.44 eV per atom
* volume: 155.06 Å³/cell
* spin magnetization: 0.00 μB per atom
* DOS at the Fermi energy: 4.4 states/eV per cell
* VASP energy: -6.07 eV per atom

Cell: 5.3723 5.3723 5.3723 Å, 90.00 90.00 90.00°
With the nearest neighbours (Å) after each atom.
Positions (direct):
Sb1 0.5000 0.5000 0.5000  12 Y 3.80
Ge1 0.0000 0.0000 0.0000  6 Y 2.69
Y1 0.5000 0.0000 0.0000  2 Ge 2.69
Y2 0.0000 0.0000 0.5000  2 Ge 2.69
Y3 0.0000 0.5000 0.0000  2 Ge 2.69


# 5
The following is a DFT calculation (PBE) of a relaxed Na2Sb3Au crystal.

Summary:
* formation energy (no corrections): -0.16 eV per atom
* volume: 364.63 Å³/cell
* spin magnetization: 0.00 μB per atom
* DOS at the Fermi energy: 6.8 states/eV per cell
* VASP energy: -3.21 eV per atom

Cell: 6.4935 6.4935 9.7764 Å, 109.11 109.11 90.83°
With the nearest neighbours (Å) after each atom.
Positions (direct):
Na1 0.7384 0.2616 0.0000  2 Au 3.19, 4 Sb 3.50
Na2 0.7500 0.2500 0.5000  8 Sb 3.33-3.65
Na3 0.2500 0.7500 0.5000  8 Sb 3.33-3.65
Na4 0.2616 0.7384 0.0000  2 Au 3.19, 4 Sb 3.50
Sb1 0.6903 0.6903 0.8247  1 Au 2.65, 1 Sb 2.89
Sb2 0.8656 0.8656 0.1753  1 Au 2.65, 1 Sb 2.89
Sb3 0.2070 0.2070 0.4140  1 Au 2.77, 2 Sb 2.89
Sb4 0.3097 0.3097 0.1753  1 Au 2.65, 1 Sb 2.89
Sb5 0.1344 0.1344 0.8247  1 Au 2.65, 1 Sb 2.89
Sb6 0.7930 0.7930 0.5860  1 Au 2.77, 2 Sb 2.89
Au1 0.6331 0.6331 0.2661  3 Sb 2.65-2.77
Au2 0.3669 0.3669 0.7339  3 Sb 2.65-2.77


# 6
The following is a DFT calculation (PBE) of a relaxed AcSmTmIn crystal.

Summary:
* volume: 125.24 Å³/cell
* spin magnetization: 0.00 μB per atom
* DOS at the Fermi energy: 7.7 states/eV per cell
* VASP energy: -4.04 eV per atom
* energy of formation from the pure elements: -0.03 eV per atom

Cell: 5.6159 5.6159 5.6159 Å, 60.00 60.00 60.00°
With the nearest neighbours (Å) after each atom.
Positions (direct):
Ac1 0.2500 0.2500 0.2500  4 Tm 3.44, 4 Sm 3.44
Sm1 0.0000 0.0000 0.0000  4 In 3.44, 4 Ac 3.44
Tm1 0.5000 0.5000 0.5000  4 In 3.44, 4 Ac 3.44
In1 0.7500 0.7500 0.7500  4 Tm 3.44, 4 Sm 3.44


# 7
The following is a DFT calculation (PBE) of a relaxed YGa12Pt6 crystal.

Summary:
* volume: 331.91 Å³/cell
* spin magnetization: 0.00 μB per atom
* DOS at the Fermi energy: 5.1 states/eV per cell
* VASP energy: -4.72 eV per atom
* energy of formation from the pure elements: -0.56 eV per atom

Cell: 7.2217 7.2217 7.2217 Å, 104.62 104.62 104.62°
With the nearest neighbours (Å) after each atom.
Positions (direct):
Ga1 0.8581 0.6072 0.6072  4 Pt 2.60-2.83, 4 Ga 2.78-2.87
Ga2 0.3928 0.3928 0.1419  4 Pt 2.60-2.83, 4 Ga 2.78-2.87
Ga3 0.1419 0.3928 0.3928  4 Pt 2.60-2.83, 4 Ga 2.78-2.87
Ga4 0.6072 0.6072 0.8581  4 Pt 2.60-2.83, 4 Ga 2.78-2.87
Ga5 0.1110 0.5000 0.8890  4 Pt 2.52-2.66, 3 Ga 2.54-2.78
Ga6 0.8890 0.1110 0.5000  4 Pt 2.52-2.66, 3 Ga 2.54-2.78
Ga7 0.5000 0.8890 0.1110  4 Pt 2.52-2.66, 3 Ga 2.54-2.78
Ga8 0.6072 0.8581 0.6072  4 Pt 2.60-2.83, 4 Ga 2.78-2.87
Ga9 0.5000 0.1110 0.8890  4 Pt 2.52-2.66, 3 Ga 2.54-2.78
Ga10 0.1110 0.8890 0.5000  4 Pt 2.52-2.66, 3 Ga 2.54-2.78
Ga11 0.3928 0.1419 0.3928  4 Pt 2.60-2.83, 4 Ga 2.78-2.87
Ga12 0.8890 0.5000 0.1110  4 Pt 2.52-2.66, 3 Ga 2.54-2.78
Pt1 0.7158 0.7158 0.2850  7 Ga 2.52-2.68
Pt2 0.7150 0.2842 0.2842  7 Ga 2.52-2.68
Pt3 0.7158 0.2850 0.7158  7 Ga 2.52-2.68
Pt4 0.2850 0.7158 0.7158  7 Ga 2.52-2.68
Pt5 0.2842 0.2842 0.7150  7 Ga 2.52-2.68
Pt6 0.2842 0.7150 0.2842  7 Ga 2.52-2.68
Y1 0.0000 0.0000 0.0000  6 Ga 3.19


# 8
The following is a DFT calculation (PBE) of a relaxed HgTe2Se crystal.

Summary:
* offset from the most stable computed form: 0.52 eV/f.u.
* formation energy (no corrections): 0.14 eV per atom
* volume: 145.67 Å³/cell
* spin magnetization: 0.00 μB per atom
* DOS at the Fermi energy: 1.8 states/eV per cell
* VASP energy: -2.38 eV per atom

Cell: 9.3095 9.3095 9.3095 Å, 154.84 154.84 35.88°
With the nearest neighbours (Å) after each atom.
Positions (direct):
Se1 0.7500 0.2500 0.5000  4 Te 2.87
Hg1 0.5000 0.5000 0.0000  4 Te 2.87
Te1 0.2500 0.7500 0.5000  4 Se 2.87
Te2 0.0000 0.0000 0.0000  4 Hg 2.87


# 9
The following is a DFT calculation (PBE) of a relaxed Cs6HAu3 crystal.

Summary:
* offset from the most stable computed form: 0.03 eV/f.u.
* volume: 990.77 Å³/cell
* spin magnetization: 0.00 μB per atom
* DOS at the Fermi energy: 15.8 states/eV per cell
* VASP energy: -2.04 eV per atom

Cell: 8.4852 9.4354 12.3751 Å, 90.00 90.03 90.00°
With the nearest neighbours (Å) after each atom.
Positions (direct):
Au1 0.0000 0.0000 0.5000  6 Cs 3.53-3.60
Au2 0.9550 0.3938 0.7506  6 Cs 3.62-3.86
Au3 0.4550 0.1062 0.2506  6 Cs 3.62-3.86
Au4 0.5450 0.8938 0.7494  6 Cs 3.62-3.86
Au5 0.5000 0.5000 0.0000  6 Cs 3.53-3.60
Au6 0.0450 0.6062 0.2494  6 Cs 3.62-3.86
Cs1 0.3081 0.8304 0.0636  1 H 3.16
Cs2 0.8081 0.6696 0.5636  1 H 3.16
Cs3 0.3412 0.8070 0.4298  1 H 3.31, 1 Au 3.53
Cs4 0.1402 0.0494 0.7670  1 H 3.15
Cs5 0.3598 0.5494 0.7330  1 H 3.15
Cs6 0.1588 0.3070 0.0702  1 H 3.31, 1 Au 3.53
Cs7 0.6402 0.4506 0.2670  1 H 3.15
Cs8 0.6588 0.1930 0.5702  1 H 3.31, 1 Au 3.53
Cs9 0.8598 0.9506 0.2330  1 H 3.15
Cs10 0.6919 0.1696 0.9364  1 H 3.16
Cs11 0.8412 0.6930 0.9298  1 H 3.31, 1 Au 3.53
Cs12 0.1919 0.3304 0.4364  1 H 3.16
H1 0.0000 0.0000 0.0000  6 Cs 3.15-3.31
H2 0.5000 0.5000 0.5000  6 Cs 3.15-3.31


# 10
The following is a DFT calculation (PBE) of a relaxed Cd3GaAg7 crystal.

Summary:
* volume: 224.28 Å³/cell
* spin magnetization: 0.00 μB per atom
* DOS at the Fermi energy: 3.7 states/eV per cell
* VASP energy: -2.25 eV per atom
* energy of formation from the pure elements: 0.09 eV per atom

Cell: 5.0838 7.2454 7.2454 Å, 86.15 113.19 113.19°
With the nearest neighbours (Å) after each atom.
Positions (direct):
Ag1 0.3273 0.0681 0.5878  5 Ag 2.81-3.08, 4 Cd 2.83-3.08, 1 Ga 3.00
Ag2 0.0000 0.5000 0.5000  2 Ga 2.54
Ag3 0.6727 0.9319 0.4122  5 Ag 2.81-3.08, 4 Cd 2.83-3.08, 1 Ga 3.00
Ag4 0.3626 0.2244 0.2244  1 Ga 2.61, 3 Cd 2.81-2.92, 2 Ag 2.84
Ag5 0.6727 0.4122 0.9319  5 Ag 2.81-3.08, 4 Cd 2.83-3.08, 1 Ga 3.00
Ag6 0.3273 0.5878 0.0681  5 Ag 2.81-3.08, 4 Cd 2.83-3.08, 1 Ga 3.00
Ag7 0.6374 0.7756 0.7756  1 Ga 2.61, 3 Cd 2.81-2.92, 2 Ag 2.84
Cd1 0.0000 0.7931 0.2069  9 Ag 2.90-3.08
Cd2 0.0000 0.2069 0.7931  9 Ag 2.90-3.08
Cd3 0.5000 0.0000 0.0000  6 Ag 2.81-2.83
Ga1 0.5000 0.5000 0.5000  4 Ag 2.54-2.61


# 11
The following is a DFT calculation (PBE) of a relaxed UGa2Pd2 crystal.

Summary:
* offset from the most stable computed form: 0.00 eV/f.u.
* volume: 186.46 Å³/cell
* spin magnetization: 0.53 μB per atom
* DOS at the Fermi energy: 17.9 states/eV per cell
* VASP energy: -5.97 eV per atom
* energy of formation from the pure elements: -0.42 eV per atom

Cell: 4.0029 4.1392 11.2535 Å, 90.00 90.00 90.00°
With the nearest neighbours (Å) after each atom.
Positions (direct):
Pd1 0.2500 0.2499 0.5038  4 Ga 2.53
Pd2 0.2500 0.7497 0.8551  5 Ga 2.49-2.62
Pd3 0.7500 0.7501 0.4962  4 Ga 2.53
Pd4 0.7500 0.2503 0.1449  5 Ga 2.49-2.62
U1 0.2500 0.7501 0.2485  6 Pd 3.11-3.43, 6 Ga 3.17-3.41
U2 0.7500 0.2499 0.7515  6 Pd 3.11-3.43, 6 Ga 3.17-3.41
Ga1 0.2500 0.2499 0.9971  4 Pd 2.60-2.62, 4 Ga 2.88
Ga2 0.7500 0.2500 0.3665  5 Pd 2.49-2.53
Ga3 0.7500 0.7501 0.0029  4 Pd 2.60-2.62, 4 Ga 2.88
Ga4 0.2500 0.7500 0.6335  5 Pd 2.49-2.53


Q: spin magnetization of number 9 (Cs6HAu3)?
A: 0.00 μB per atom


Copy entry 2 word for word.
The following is a DFT calculation (PBE) of a relaxed Ga2Tc2Sn crystal.

Summary:
* offset from the most stable computed form: 1.01 eV/f.u.
* volume: 161.14 Å³/cell
* spin magnetization: 0.00 μB per atom
* DOS at the Fermi energy: 8.3 states/eV per cell
* VASP energy: -5.98 eV per atom
* energy of formation from the pure elements: 0.18 eV per atom

Cell: 7.1048 7.1048 3.1923 Å, 90.00 90.00 90.00°
With the nearest neighbours (Å) after each atom.
Positions (direct):
Sn1 0.0000 0.0000 0.0000  4 Ga 2.80, 8 Tc 3.09
Sn2 0.5000 0.5000 0.0000  4 Ga 2.80, 8 Tc 3.09
Ga1 0.8729 0.6271 0.0000  1 Ga 2.56, 6 Tc 2.60-2.65, 2 Sn 2.80
Ga2 0.3729 0.8729 0.0000  1 Ga 2.56, 6 Tc 2.60-2.65, 2 Sn 2.80
Ga3 0.1271 0.3729 0.0000  1 Ga 2.56, 6 Tc 2.60-2.65, 2 Sn 2.80
Ga4 0.6271 0.1271 0.0000  1 Ga 2.56, 6 Tc 2.60-2.65, 2 Sn 2.80
Tc1 0.1684 0.6684 0.5000  6 Ga 2.60-2.65
Tc2 0.6684 0.8316 0.5000  6 Ga 2.60-2.65
Tc3 0.8316 0.3316 0.5000  6 Ga 2.60-2.65
Tc4 0.3316 0.1684 0.5000  6 Ga 2.60-2.65


Q: The lowest volume belongs to which entry?
A: FeWAu2


Q: Which of these has the lowest VASP energy?
A: FeSi2N3